Record 1
A plane-wave DFT calculation with PBE was carried out for crystalline BaMn2Cd at its relaxed geometry.

Calculated values
The calculation puts the formation energy at 0.55 eV/atom. The total energy comes out at -4.747 eV per atom.

Cell lengths 3.6405, 3.6318, 7.5928 Å; angles 90.00, 90.00, 90.00 degrees
Closest atoms and distances in Å follow each position.
Positions (direct):
Ba (0.5000, 0.5000, 0.2500)  8 Mn 3.56, 4 Ba 3.63-3.64, 2 Cd 3.80
Cd (0.5000, 0.5000, 0.7500)  8 Mn 2.90
Mn (0.0000, 0.0000, 0.9261)  1 Mn 2.67, 4 Cd 2.90
Mn (0.0000, 0.0000, 0.5739)  1 Mn 2.67, 4 Cd 2.90


Record 2
A plane-wave DFT calculation with PBE was carried out for crystalline BaMn2Cd at its relaxed geometry.

Calculated values
The calculation puts the formation energy at 0.46 eV/atom. The total energy comes out at -4.834 eV per atom.

Cell lengths 3.5662, 3.4774, 8.6619 Å; angles 66.37, 90.00, 90.00 degrees
Closest atoms and distances in Å follow each position.
Positions (direct):
Mn (0.0000, 0.9834, 0.0168)  4 Mn 2.79-2.80, 4 Cd 2.93-2.94
Cd (0.5000, 0.6787, 0.8211)  5 Mn 2.82-2.94
Ba (0.0000, 0.5143, 0.4855)  4 Ba 3.48-3.57, 5 Mn 3.49-3.72, 4 Cd 3.65
Mn (0.5000, 0.3235, 0.1766)  4 Mn 2.79-2.80, 1 Cd 2.82


Record 3
A plane-wave DFT calculation with PBE was carried out for crystalline BaMnCd at its relaxed geometry.

Calculated values
The calculation puts the formation energy at 0.27 eV/atom. The total energy comes out at -3.729 eV per atom.

Cell lengths 6.6967, 6.6967, 6.6967 Å; angles 147.02, 147.14, 47.24 degrees
Closest atoms and distances in Å follow each position.
Positions (direct):
Mn (0.2925, 0.2925, 0.0000)  4 Cd 2.88
Ba (0.9997, 0.9997, 0.0000)  5 Cd 3.58-3.70, 5 Mn 3.59-3.70, 4 Ba 3.79-3.80
Cd (0.7078, 0.7078, 0.0000)  4 Mn 2.88